[1]
VASP calculation (GGA+U) on crystalline Ba3NaV2O8 at its relaxed geometry.

Cell and atoms, written as POSCAR:
```
Ba3NaV2O8
1.0
5.9340 0.0000 0.0000
-2.9670 5.1390 0.0000
0.0000 0.0000 7.6555
Ba Na V O
3 1 2 8
direct
0.0000 0.0000 0.0000
0.3333 0.6667 0.6498
0.6667 0.3333 0.3502
0.0000 0.0000 0.5000
0.3333 0.6667 0.2069
0.6667 0.3333 0.7931
0.1742 0.3484 0.2997
0.1742 0.8258 0.2997
0.3333 0.6667 0.9779
0.3484 0.1742 0.7003
0.6516 0.8258 0.2997
0.6667 0.3333 0.0221
0.8258 0.1742 0.7003
0.8258 0.6516 0.7003
```

Symmetry = P-3m1

---

[2]
VASP calculation (GGA+U) on crystalline BaNaVO4 at its relaxed geometry.

Cell and atoms, written as POSCAR:
```
BaNaVO4
1.0
-2.9579 2.9579 4.2483
2.9579 -2.9579 4.2483
2.9579 2.9579 -4.2483
Ba Na V O
1 1 1 4
direct
0.0000 0.0000 0.0000
0.5000 0.5000 0.0000
0.2500 0.7500 0.5000
0.2150 0.6737 0.1575
0.3263 0.4838 0.5413
0.5162 0.0574 0.8425
0.9426 0.7850 0.4587
```

Symmetry = I-4

---

[3]
VASP calculation (GGA+U) on crystalline BaNa3V4O12 at its relaxed geometry.

Cell and atoms, written as POSCAR:
```
BaNa3V4O12
1.0
6.0566 3.4968 2.3740
-6.0566 3.4968 2.3740
0.0000 -6.9936 2.3740
Ba Na V O
1 3 4 12
direct
0.0000 0.0000 0.0000
0.0000 0.5706 0.4294
0.4294 0.0000 0.5706
0.5706 0.4294 0.0000
0.0749 0.5000 0.9251
0.5000 0.5000 0.5000
0.5000 0.9251 0.0749
0.9251 0.0749 0.5000
0.0629 0.9371 0.5000
0.0986 0.6538 0.7939
0.2061 0.3462 0.9014
0.3462 0.9014 0.2061
0.3580 0.6420 0.5000
0.5000 0.0629 0.9371
0.5000 0.3580 0.6420
0.6420 0.5000 0.3580
0.6538 0.7939 0.0986
0.7939 0.0986 0.6538
0.9014 0.2061 0.3462
0.9371 0.5000 0.0629
```

Symmetry = R32

---

Asked for total energy across the records above, the calculation gives -6.790; -6.627; -6.467 eV per atom in order.